# 1
The following is a DFT calculation (GGA-PBE) of an optimized crystal structure of PmMoAs.

The structure belongs to space group R-3m (No. 166, hexagonal axes); the cell edges are 3.9911, 3.9911 and 31.6174 Å and the angles 90.00°, 90.00° and 120.00°. The inequivalent atoms are Pm at (0.0000, 0.0000, 0.1173), Mo at (0.0000, 0.0000, 0.3107) and As at (0.0000, 0.0000, 0.3930).

For the calculated formation energy, the calculation gives -0.312 eV/atom.


# 2
The following is a DFT calculation (GGA-PBE) of an optimized crystal structure of Pm2MoAs.

The structure belongs to space group P4/mmm (No. 123); the cell edges are 4.907, 4.907 and 3.843 Å and the angles 90.00°, 90.00° and 90.00°. The inequivalent atoms are Pm at (0.000, 0.500, 0.000), Mo at (0.000, 0.000, 0.500) and As at (0.500, 0.500, 0.500).

For the calculated formation energy, the calculation gives -0.168 eV/atom.


# 3
The following is a DFT calculation (GGA-PBE) of an optimized crystal structure of MoAsPt2.

The structure belongs to space group Cmmm (No. 65); the cell edges are 5.373, 8.364 and 2.830 Å and the angles 90.00°, 90.00° and 90.00°. The inequivalent atoms are Mo at (0.000, 0.000, 0.000), As at (0.000, 0.500, 0.000) and Pt at (0.250, 0.250, 0.500).

For the calculated formation energy, the calculation gives -0.050 eV/atom.